The following is a PBE calculation of an optimized crystal structure of NaCd4As3, from Alexandria via LeMat-Bulk.

Calculated values
crystal system	tetragonal
ΔH_f (0 K)	-0.1430	eV per atom

The structure in CIF format:
```
data_NaCd4As3
_chemical_formula_sum 'Na1 Cd4 As3'
_cell_length_a 4.4987
_cell_length_b 4.4987
_cell_length_c 10.2184
_cell_angle_alpha 90.00
_cell_angle_beta 90.00
_cell_angle_gamma 90.00
_symmetry_space_group_name_H-M 'P 1'
_symmetry_Int_Tables_number 1
_symmetry_space_group_name_Hall 'P 1'
loop_
_atom_site_label
_atom_site_type_symbol
_atom_site_fract_x
_atom_site_fract_y
_atom_site_fract_z
Na1 Na 0.0000 0.0000 0.0000
Cd1 Cd 0.0000 0.5000 0.3229
Cd2 Cd 0.0000 0.5000 0.6771
Cd3 Cd 0.5000 0.0000 0.3229
Cd4 Cd 0.5000 0.0000 0.6771
As1 As 0.0000 0.0000 0.5000
As2 As 0.5000 0.5000 0.1674
As3 As 0.5000 0.5000 0.8326
```



The following is a PBE calculation of an optimized crystal structure of KScPb2, from Alexandria via LeMat-Bulk.

Calculated values
crystal system	tetragonal
ΔH_f (0 K)	-0.0503	eV per atom

The structure in CIF format:
```
data_KScPb2
_chemical_formula_sum 'K1 Sc1 Pb2'
_cell_length_a 5.7928
_cell_length_b 5.7928
_cell_length_c 5.7928
_cell_angle_alpha 128.68
_cell_angle_beta 128.68
_cell_angle_gamma 75.53
_symmetry_space_group_name_H-M 'P 1'
_symmetry_Int_Tables_number 1
_symmetry_space_group_name_Hall 'P 1'
loop_
_atom_site_label
_atom_site_type_symbol
_atom_site_fract_x
_atom_site_fract_y
_atom_site_fract_z
K1 K 0.0000 0.0000 0.0000
Sc1 Sc 0.5000 0.5000 0.0000
Pb1 Pb 0.2500 0.7500 0.5000
Pb2 Pb 0.7500 0.2500 0.5000
```



The following is a PBE calculation of an optimized crystal structure of CaMoSN2, from Alexandria via LeMat-Bulk.

Calculated values
crystal system	tetragonal
raw formation energy	-0.534	eV per atom

The structure in CIF format:
```
data_CaMoSN2
_chemical_formula_sum 'Ca1 Mo1 S1 N2'
_cell_length_a 3.9563
_cell_length_b 3.9563
_cell_length_c 4.9814
_cell_angle_alpha 90.00
_cell_angle_beta 90.00
_cell_angle_gamma 90.00
_symmetry_space_group_name_H-M 'P 1'
_symmetry_Int_Tables_number 1
_symmetry_space_group_name_Hall 'P 1'
loop_
_atom_site_label
_atom_site_type_symbol
_atom_site_fract_x
_atom_site_fract_y
_atom_site_fract_z
Ca1 Ca 0.0000 0.0000 0.0000
Mo1 Mo 0.5000 0.5000 0.5000
S1 S 0.5000 0.5000 0.0000
N1 N 0.0000 0.5000 0.5000
N2 N 0.5000 0.0000 0.5000
```



The following is a PBE calculation of an optimized crystal structure of ZrIn2Tc, from Alexandria via LeMat-Bulk.

Calculated values
crystal system	cubic
ΔH_f (0 K)	0.0582	eV per atom

The structure in CIF format:
```
data_ZrIn2Tc
_chemical_formula_sum 'Zr1 In2 Tc1'
_cell_length_a 4.7858
_cell_length_b 4.7858
_cell_length_c 4.7858
_cell_angle_alpha 60.00
_cell_angle_beta 60.00
_cell_angle_gamma 60.00
_symmetry_space_group_name_H-M 'P 1'
_symmetry_Int_Tables_number 1
_symmetry_space_group_name_Hall 'P 1'
loop_
_atom_site_label
_atom_site_type_symbol
_atom_site_fract_x
_atom_site_fract_y
_atom_site_fract_z
Zr1 Zr 0.0000 0.0000 0.0000
In1 In 0.2500 0.2500 0.2500
In2 In 0.7500 0.7500 0.7500
Tc1 Tc 0.5000 0.5000 0.5000
```



The following is a PBE calculation of an optimized crystal structure of SrIn3Au, from Alexandria via LeMat-Bulk.

Calculated values
crystal system	cubic
ΔH_f (0 K)	-0.1092	eV per atom

The structure in CIF format:
```
data_SrIn3Au
_chemical_formula_sum 'Sr1 In3 Au1'
_cell_length_a 5.4222
_cell_length_b 5.4222
_cell_length_c 5.4222
_cell_angle_alpha 90.00
_cell_angle_beta 90.00
_cell_angle_gamma 90.00
_symmetry_space_group_name_H-M 'P 1'
_symmetry_Int_Tables_number 1
_symmetry_space_group_name_Hall 'P 1'
loop_
_atom_site_label
_atom_site_type_symbol
_atom_site_fract_x
_atom_site_fract_y
_atom_site_fract_z
Sr1 Sr 0.0000 0.0000 0.0000
In1 In 0.0000 0.5000 0.5000
In2 In 0.5000 0.0000 0.5000
In3 In 0.5000 0.5000 0.0000
Au1 Au 0.5000 0.5000 0.5000
```



The following is a PBE calculation of an optimized crystal structure of Sr2MnSb3Pt4, from Alexandria via LeMat-Bulk.

Calculated values
crystal system	tetragonal
raw formation energy	-0.721	eV per atom

The structure in CIF format:
```
data_Sr2MnSb3Pt4
_chemical_formula_sum 'Sr2 Mn1 Sb3 Pt4'
_cell_length_a 4.6244
_cell_length_b 4.6244
_cell_length_c 10.7048
_cell_angle_alpha 90.00
_cell_angle_beta 90.00
_cell_angle_gamma 90.00
_symmetry_space_group_name_H-M 'P 1'
_symmetry_Int_Tables_number 1
_symmetry_space_group_name_Hall 'P 1'
loop_
_atom_site_label
_atom_site_type_symbol
_atom_site_fract_x
_atom_site_fract_y
_atom_site_fract_z
Sr1 Sr 0.0000 0.5000 0.2466
Sr2 Sr 0.5000 0.0000 0.7534
Mn1 Mn 0.0000 0.0000 0.5000
Sb1 Sb 0.0000 0.5000 0.8702
Sb2 Sb 0.5000 0.0000 0.1298
Sb3 Sb 0.5000 0.5000 0.5000
Pt1 Pt 0.0000 0.0000 0.0000
Pt2 Pt 0.0000 0.5000 0.6244
Pt3 Pt 0.5000 0.0000 0.3756
Pt4 Pt 0.5000 0.5000 0.0000
```



The following is a PBE calculation of an optimized crystal structure of CuAs2Pt, from Alexandria via LeMat-Bulk.

Calculated values
crystal system	orthorhombic
ΔH_f (0 K)	-0.0599	eV per atom

The structure in CIF format:
```
data_CuAs2Pt
_chemical_formula_sum 'Cu1 As2 Pt1'
_cell_length_a 2.7465
_cell_length_b 3.7015
_cell_length_c 7.1294
_cell_angle_alpha 90.00
_cell_angle_beta 90.00
_cell_angle_gamma 90.00
_symmetry_space_group_name_H-M 'P 1'
_symmetry_Int_Tables_number 1
_symmetry_space_group_name_Hall 'P 1'
loop_
_atom_site_label
_atom_site_type_symbol
_atom_site_fract_x
_atom_site_fract_y
_atom_site_fract_z
Cu1 Cu 0.0000 0.0000 0.0000
As1 As 0.5000 0.0000 0.5598
As2 As 0.5000 0.5000 0.1652
Pt1 Pt 0.5000 0.5000 0.7909
```



The following is a PBE calculation of an optimized crystal structure of CaNd3In4, from Alexandria via LeMat-Bulk.

Calculated values
crystal system	tetragonal
ΔH_f (0 K)	-0.4802	eV per atom

The structure in CIF format:
```
data_CaNd3In4
_chemical_formula_sum 'Ca1 Nd3 In4'
_cell_length_a 3.8570
_cell_length_b 3.8570
_cell_length_c 15.6135
_cell_angle_alpha 90.00
_cell_angle_beta 90.00
_cell_angle_gamma 90.00
_symmetry_space_group_name_H-M 'P 1'
_symmetry_Int_Tables_number 1
_symmetry_space_group_name_Hall 'P 1'
loop_
_atom_site_label
_atom_site_type_symbol
_atom_site_fract_x
_atom_site_fract_y
_atom_site_fract_z
Ca1 Ca 0.0000 0.0000 0.0000
Nd1 Nd 0.0000 0.0000 0.2471
Nd2 Nd 0.0000 0.0000 0.5000
Nd3 Nd 0.0000 0.0000 0.7529
In1 In 0.5000 0.5000 0.1220
In2 In 0.5000 0.5000 0.3748
In3 In 0.5000 0.5000 0.6252
In4 In 0.5000 0.5000 0.8780
```



What did the first record say?
The following is a PBE calculation of an optimized crystal structure of NaCd4As3, from Alexandria via LeMat-Bulk.

Calculated values
crystal system	tetragonal
ΔH_f (0 K)	-0.1430	eV per atom

The structure in CIF format:
```
data_NaCd4As3
_chemical_formula_sum 'Na1 Cd4 As3'
_cell_length_a 4.4987
_cell_length_b 4.4987
_cell_length_c 10.2184
_cell_angle_alpha 90.00
_cell_angle_beta 90.00
_cell_angle_gamma 90.00
_symmetry_space_group_name_H-M 'P 1'
_symmetry_Int_Tables_number 1
_symmetry_space_group_name_Hall 'P 1'
loop_
_atom_site_label
_atom_site_type_symbol
_atom_site_fract_x
_atom_site_fract_y
_atom_site_fract_z
Na1 Na 0.0000 0.0000 0.0000
Cd1 Cd 0.0000 0.5000 0.3229
Cd2 Cd 0.0000 0.5000 0.6771
Cd3 Cd 0.5000 0.0000 0.3229
Cd4 Cd 0.5000 0.0000 0.6771
As1 As 0.0000 0.0000 0.5000
As2 As 0.5000 0.5000 0.1674
As3 As 0.5000 0.5000 0.8326
```